Entry 1:
The following is a DFT calculation (GGA-PBE) of a relaxed structure of Pu3AlGa3.

Cell: 4.6460 5.6409 13.2331 Å, 98.76 79.89 65.68°
Closest atoms and distances in Å follow each position.
Fractional positions:
Ga  0.1393  0.2481  0.4733  1 Ga 2.51, 3 Al 2.65-2.66
Pu  0.7210  0.7979  0.7601  6 Ga 2.95-3.21, 3 Pu 3.17-3.27, 2 Al 3.24
Pu  0.6303  0.6986  0.0407  8 Ga 3.04-3.36, 3 Pu 3.10-3.17
Pu  0.4886  0.3742  0.6486  4 Al 3.11-3.38, 5 Ga 3.20-3.26, 2 Pu 3.27
Al  0.2204  0.9479  0.6113  4 Ga 2.60-2.66
Ga  0.0244  0.7558  0.1954  1 Al 2.60, 1 Ga 2.65
Ga  0.8607  0.7519  0.5267  1 Ga 2.51, 3 Al 2.65-2.66
Pu  0.2790  0.2021  0.2399  6 Ga 2.95-3.21, 3 Pu 3.17-3.27, 2 Al 3.24
Ga  0.8788  0.1463  0.0962  2 Ga 2.58-2.65
Ga  0.1212  0.8537  0.9038  2 Ga 2.58-2.65
Al  0.7796  0.0521  0.3887  4 Ga 2.60-2.66
Pu  0.5114  0.6258  0.3514  4 Al 3.11-3.38, 5 Ga 3.20-3.26, 2 Pu 3.27
Pu  0.3697  0.3014  0.9593  8 Ga 3.04-3.36, 3 Pu 3.10-3.17
Ga  0.9756  0.2442  0.8046  1 Al 2.60, 1 Ga 2.65

DOS at the Fermi energy (states/eV per cell): 44.33
Size of the total moment (μB/f.u.): 16.65
VASP energy (eV per atom): -8.23
Mass density (g/cm3): 10.7
E_form (meV per atom): -254

=====

Entry 2:
The following is a DFT calculation (GGA-PBE) of a relaxed structure of PuAl3Ga2.

Cell: 4.5463 7.4789 8.3406 Å, 122.58 90.00 107.69°
Closest atoms and distances in Å follow each position.
Fractional positions:
Ga  0.5017  0.0034  0.1845  3 Al 2.63-2.94
Al  0.3815  0.7631  0.3913  7 Al 2.79-2.99, 4 Ga 2.94-3.08, 1 Pu 3.04
Al  0.7565  0.5130  0.4207  5 Al 2.69-2.98, 2 Ga 2.73-3.00
Al  0.2435  0.4870  0.5793  5 Al 2.69-2.98, 2 Ga 2.73-3.00
Al  0.9980  0.9960  0.3387  3 Ga 2.63-2.84, 2 Al 2.66-2.89
Al  0.0020  0.0040  0.6613  3 Ga 2.63-2.84, 2 Al 2.66-2.89
Pu  0.8764  0.7529  0.8775  1 Pu 2.91, 6 Al 3.04-3.20, 7 Ga 3.05-3.12
Ga  0.4983  0.9966  0.8155  3 Al 2.63-2.94
Pu  0.1236  0.2471  0.1225  1 Pu 2.91, 6 Al 3.04-3.20, 7 Ga 3.05-3.12
Ga  0.2432  0.4864  0.9058  2 Ga 2.71, 2 Al 2.73-2.84
Al  0.6185  0.2369  0.6087  7 Al 2.79-2.99, 4 Ga 2.94-3.08, 1 Pu 3.04
Ga  0.7568  0.5136  0.0942  2 Ga 2.71, 2 Al 2.73-2.84

DOS at the Fermi energy (states/eV per cell): 16.28
Size of the total moment (μB/f.u.): 5.44
VASP energy (eV per atom): -5.44
Mass density (g/cm3): 6.9
E_form (meV per atom): -173

=====

Entry 3:
The following is a DFT calculation (GGA-PBE) of a relaxed structure of Pu2AlGa.

Cell: 2.9744 5.5491 5.5491 Å, 109.89 90.00 90.00°
Closest atoms and distances in Å follow each position.
Fractional positions:
Ga  0.5000  0.5000  0.0000  2 Ga 2.97, 8 Pu 3.15, 2 Al 3.19
Pu  0.0000  0.5000  0.5000  4 Pu 2.97-3.19, 4 Ga 3.15, 4 Al 3.15
Al  0.5000  0.0000  0.5000  2 Al 2.97, 8 Pu 3.15, 2 Ga 3.19
Pu  0.0000  0.0000  0.0000  4 Pu 2.97-3.19, 4 Al 3.15, 4 Ga 3.15

DOS at the Fermi energy (states/eV per cell): 9.84
Size of the total moment (μB/f.u.): 10.95
VASP energy (eV per atom): -9.10
Mass density (g/cm3): 11.3
E_form (meV per atom): -244

=====

Entry 4:
The following is a DFT calculation (GGA-PBE) of a relaxed structure of Pu2AlGa.

Cell: 2.9552 2.9552 10.8976 Å, 82.21 82.21 60.00°
Closest atoms and distances in Å follow each position.
Fractional positions:
Pu  0.2504  0.2504  0.2487  6 Pu 2.96, 3 Ga 3.17, 3 Al 3.20
Al  0.5000  0.5000  0.5000  6 Al 2.96, 6 Pu 3.20
Pu  0.7496  0.7496  0.7513  6 Pu 2.96, 3 Ga 3.17, 3 Al 3.20
Ga  0.0000  0.0000  0.0000  6 Ga 2.96, 6 Pu 3.17

DOS at the Fermi energy (states/eV per cell): 10.58
Size of the total moment (μB/f.u.): 9.40
VASP energy (eV per atom): -8.86
Mass density (g/cm3): 11.9
E_form (meV per atom): -1